This record from Alexandria via LeMat-Bulk describes KNdEuWO6 after structural relaxation. The functional is GGA+U.

```
data_KNdEuWO6
_cell_length_a 8.551
_cell_length_b 8.551
_cell_length_c 8.551
_cell_angle_alpha 90.00
_cell_angle_beta 90.00
_cell_angle_gamma 90.00
_space_group_name_H-M_alt 'F -4 3 m'
_space_group_IT_number 216
_space_group_name_Hall 'F -4 2 3'
loop_
_atom_site_label
_atom_site_type_symbol
_atom_site_fract_x
_atom_site_fract_y
_atom_site_fract_z
K1 K 0.000 0.000 0.000
Nd1 Nd 0.250 0.250 0.250
Eu1 Eu 0.000 0.000 0.500
W1 W 0.250 0.250 0.750
O1 O 0.022 0.250 0.750
```

**Raw total energy**: -313.87 eV per cell
**Size of the total moment**: 28.001 Bohr magnetons per cell
**Volume**: 625.2 Å³ per cell